(1)
Entry from Alexandria: a geometry-optimized HfBe10Cr structure (GGA-PBE).

space group = Pmmm, No. 47
electronic total energy = -0.17843 hartree per atom
theoretical density = 4.68 g/cm3

a b c (Å): 3.428 4.365 7.606
angles (deg): 90.00 90.00 90.00
Each line ends with the local moment (μB).
Positions (direct):
Be  0.000  0.000  0.685  0.00
Be  0.500  0.500  0.000  -0.05
Be  0.500  0.000  0.500  0.00
Be  0.500  0.248  0.760  -0.02
Be  0.500  0.752  0.240  -0.02
Be  0.500  0.752  0.760  -0.02
Be  0.000  0.000  0.315  0.00
Be  0.000  0.500  0.154  -0.01
Be  0.000  0.500  0.846  -0.01
Be  0.500  0.248  0.240  -0.02
Hf  0.000  0.500  0.500  0.08
Cr  0.000  0.000  0.000  2.02

(2)
Entry from Alexandria: a geometry-optimized Sc2BeW structure (GGA-PBE).

space group = P4/mmm, No. 123
electronic total energy = -0.26184 hartree per atom
theoretical density = 6.84 g/cm3

a b c (Å): 2.895 2.895 8.185
angles (deg): 90.00 90.00 90.02
Positions (direct):
Be  0.500  0.500  0.750
W  0.500  0.500  0.250
Sc  0.000  0.000  0.525
Sc  0.000  0.000  0.975

Which of these has the lowest electronic total energy? Sc2BeW